[1]
Density functional theory data (PBE-GGA) for a relaxed NaZr2FeAu crystal.

Cell lengths 4.9260, 4.5301, 4.9260 Å; angles 90.00, 90.00, 90.00 degrees
Closest atoms and distances in Å follow each position.
Fractional positions:
Na 0.0000 0.0000 0.0000  2 Au 2.27, 4 Zr 2.46
Au 0.0000 0.5000 0.0000  2 Na 2.27
Fe 0.5000 0.5000 0.5000  8 Zr 3.35, 4 Au 3.48
Zr 0.0000 0.0000 0.5000  2 Na 2.46
Zr 0.5000 0.0000 0.0000  2 Na 2.46

Summary:
* total DFT energy (no corrections): -4.32 eV per atom
* space-group type: P4/mmm, No. 123


[2]
Density functional theory data (PBE-GGA) for a relaxed KNd2PuTe4 crystal.

Cell lengths 4.5197, 7.9900, 7.9378 Å; angles 71.19, 90.00, 90.00 degrees
Closest atoms and distances in Å follow each position.
Fractional positions:
K 0.0000 0.5000 0.5000  6 Te 3.30-3.32
Nd 0.0000 0.0000 0.0000  6 Te 3.16-3.18
Nd 0.5000 0.0000 0.5000  6 Te 3.24-3.25
Pu 0.5000 0.5000 0.0000  6 Te 3.22-3.24
Te 0.0000 0.7524 0.7567  3 Nd 3.18-3.25, 2 Pu 3.22, 1 K 3.30
Te 0.0000 0.2476 0.2433  3 Nd 3.18-3.25, 2 Pu 3.22, 1 K 3.30
Te 0.5000 0.7622 0.2378  3 Nd 3.16-3.24, 1 Pu 3.24, 2 K 3.32
Te 0.5000 0.2378 0.7622  3 Nd 3.16-3.24, 1 Pu 3.24, 2 K 3.32

Summary:
* total DFT energy (no corrections): -5.99 eV per atom
* raw formation energy: -1001 kJ/mol of formula units
* space-group type: P2/m, No. 10


[3]
Density functional theory data (PBE-GGA) for a relaxed SmHo2Sc3 crystal.

Cell lengths 3.4411, 5.9584, 16.5717 Å; angles 96.89, 90.00, 90.00 degrees
Closest atoms and distances in Å follow each position.
Fractional positions:
Sm 0.2500 0.5278 0.8326  6 Sc 3.39-3.41, 4 Ho 3.43-3.45, 2 Sm 3.44
Sm 0.7500 0.4722 0.1674  6 Sc 3.39-3.41, 4 Ho 3.43-3.45, 2 Sm 3.44
Ho 0.2500 0.7502 0.5000  6 Sc 3.37-3.38, 6 Ho 3.44
Ho 0.7500 0.2498 0.5000  6 Sc 3.37-3.38, 6 Ho 3.44
Ho 0.7500 0.0266 0.8329  6 Sc 3.38-3.39, 4 Sm 3.43-3.45, 2 Ho 3.44
Ho 0.2500 0.9734 0.1671  6 Sc 3.38-3.39, 4 Sm 3.43-3.45, 2 Ho 3.44
Sc 0.7500 0.6389 0.6654  4 Ho 3.37-3.39, 2 Sm 3.39, 6 Sc 3.43-3.45
Sc 0.2500 0.3611 0.3346  4 Ho 3.37-3.39, 2 Sm 3.39, 6 Sc 3.43-3.45
Sc 0.7500 0.8624 0.3339  5 Ho 3.37-3.39, 1 Sm 3.39, 6 Sc 3.43-3.45
Sc 0.2500 0.1376 0.6661  5 Ho 3.37-3.39, 1 Sm 3.39, 6 Sc 3.43-3.45
Sc 0.2500 0.2478 0.9993  3 Ho 3.38-3.39, 3 Sm 3.40-3.41, 6 Sc 3.42-3.46
Sc 0.7500 0.7522 0.0007  3 Ho 3.38-3.39, 3 Sm 3.40-3.41, 6 Sc 3.42-3.46

Summary:
* total DFT energy (no corrections): -5.41 eV per atom
* space-group type: P2_1/m, No. 11


[4]
Density functional theory data (PBE-GGA) for a relaxed SmPu2ReC4 crystal.

Cell lengths 3.5002, 6.1589, 12.3086 Å; angles 90.00, 90.00, 106.51 degrees
Closest atoms and distances in Å follow each position.
Fractional positions:
Sm 0.1042 0.2084 0.7500  6 C 2.71-2.82
Sm 0.8958 0.7916 0.2500  6 C 2.71-2.82
Pu 0.3695 0.7389 0.5378  5 C 2.38-2.57
Pu 0.6305 0.2611 0.0378  5 C 2.38-2.57
Pu 0.6305 0.2611 0.4622  5 C 2.38-2.57
Pu 0.3695 0.7389 0.9622  5 C 2.38-2.57
Re 0.8404 0.6808 0.7500  4 C 1.92-2.04
Re 0.1596 0.3192 0.2500  4 C 1.92-2.04
C 0.2597 0.5193 0.1274  1 Re 1.92
C 0.7403 0.4807 0.6274  1 Re 1.92
C 0.7403 0.4807 0.8726  1 Re 1.92
C 0.2597 0.5193 0.3726  1 Re 1.92
C 0.0000 0.0000 0.5000  4 Pu 2.38
C 0.0000 0.0000 0.0000  4 Pu 2.38
C 0.4294 0.8588 0.7500  2 Re 2.04
C 0.5706 0.1412 0.2500  2 Re 2.04

Summary:
* total DFT energy (no corrections): -10.29 eV per atom
* space-group type: Cmcm, No. 63


[5]
Density functional theory data (PBE-GGA) for a relaxed ReCl3 crystal.

Cell lengths 9.6853, 9.6853, 9.6853 Å; angles 64.64, 64.64, 64.64 degrees
Closest atoms and distances in Å follow each position.
Fractional positions:
Cl 0.4882 0.4882 0.1699  2 Re 2.40-2.66
Cl 0.4882 0.1699 0.4882  2 Re 2.40-2.66
Cl 0.1699 0.4882 0.4882  2 Re 2.40-2.66
Cl 0.5118 0.5118 0.8301  2 Re 2.40-2.66
Cl 0.8301 0.5118 0.5118  2 Re 2.40-2.66
Cl 0.5118 0.8301 0.5118  2 Re 2.40-2.66
Cl 0.2875 0.2875 0.9725  1 Re 2.26
Cl 0.2875 0.9725 0.2875  1 Re 2.26
Cl 0.9725 0.2875 0.2875  1 Re 2.26
Cl 0.7125 0.7125 0.0275  1 Re 2.26
Cl 0.0275 0.7125 0.7125  1 Re 2.26
Cl 0.7125 0.0275 0.7125  1 Re 2.26
Cl 0.1246 0.5922 0.1246  2 Re 2.42
Cl 0.5922 0.1246 0.1246  2 Re 2.42
Cl 0.1246 0.1246 0.5922  2 Re 2.42
Cl 0.4078 0.8754 0.8754  2 Re 2.42
Cl 0.8754 0.4078 0.8754  2 Re 2.42
Cl 0.8754 0.8754 0.4078  2 Re 2.42
Re 0.3582 0.3582 0.1216  4 Cl 2.26-2.42, 2 Re 2.45
Re 0.3582 0.1216 0.3582  4 Cl 2.26-2.42, 2 Re 2.45
Re 0.1216 0.3582 0.3582  4 Cl 2.26-2.42, 2 Re 2.45
Re 0.6418 0.6418 0.8784  4 Cl 2.26-2.42, 2 Re 2.45
Re 0.8784 0.6418 0.6418  4 Cl 2.26-2.42, 2 Re 2.45
Re 0.6418 0.8784 0.6418  4 Cl 2.26-2.42, 2 Re 2.45

Summary:
* total DFT energy (no corrections): -5.17 eV per atom
* raw formation energy: -260 kJ/mol of formula units
* ΔE to the lowest computed polymorph: 0.000 eV/atom
* space-group type: R-3m, No. 166


[6]
Density functional theory data (PBE-GGA) for a relaxed NdBe2H6 crystal.

Cell lengths 4.3324, 4.5660, 5.3172 Å; angles 71.40, 50.55, 75.40 degrees
Closest atoms and distances in Å follow each position.
Fractional positions:
Nd 0.0000 0.0000 0.0000  10 H 2.33-2.47
Be 0.6190 0.4953 0.6260  3 H 1.40-1.49
Be 0.3810 0.5047 0.3740  3 H 1.40-1.49
H 0.1887 0.5365 0.7170  2 Be 1.49-1.57
H 0.6612 0.8032 0.6029  1 Be 1.42
H 0.5763 0.2154 0.8506  1 Be 1.40
H 0.8113 0.4635 0.2830  2 Be 1.49-1.57
H 0.3388 0.1968 0.3971  1 Be 1.42
H 0.4237 0.7846 0.1494  1 Be 1.40

Summary:
* total DFT energy (no corrections): -3.78 eV per atom
* ΔE to the lowest computed polymorph: 0.000 eV/atom
* space-group type: P-1, No. 2


[7]
Density functional theory data (PBE-GGA) for a relaxed Tb2Pm5YEr crystal.

Cell lengths 5.6472, 10.5160, 10.7234 Å; angles 90.00, 90.00, 105.58 degrees
Closest atoms and distances in Å follow each position.
Fractional positions:
Tb 0.8849 0.7698 0.8137  9 Pm 3.36-3.74, 1 Y 3.68
Tb 0.1116 0.2233 0.7372  1 Y 3.43, 7 Pm 3.50-3.80, 2 Er 3.73
Tb 0.1151 0.2302 0.3137  9 Pm 3.36-3.74, 1 Y 3.68
Tb 0.8884 0.7767 0.2372  1 Y 3.43, 7 Pm 3.50-3.80, 2 Er 3.73
Pm 0.3875 0.7749 0.0217  6 Pm 3.55-3.85, 4 Tb 3.60-3.65, 1 Y 3.80
Pm 0.7192 0.4385 0.8102  1 Er 3.07, 1 Tb 3.36, 2 Pm 3.43
Pm 0.4817 0.9635 0.7427  2 Er 3.22-3.35, 2 Tb 3.52, 2 Pm 3.55-3.56
Pm 0.2984 0.5969 0.7075  4 Pm 3.43-3.82, 1 Er 3.46, 3 Tb 3.51-3.80, 3 Y 3.53-3.81
Pm 0.9832 0.9664 0.5188  2 Er 3.26, 3 Tb 3.46-3.58
Pm 0.6125 0.2251 0.5217  6 Pm 3.55-3.85, 4 Tb 3.60-3.65, 1 Y 3.80
Pm 0.2808 0.5615 0.3102  1 Er 3.07, 1 Tb 3.36, 2 Pm 3.43
Pm 0.5183 0.0365 0.2427  2 Er 3.22-3.35, 2 Tb 3.52, 2 Pm 3.55-3.56
Pm 0.7016 0.4031 0.2075  4 Pm 3.43-3.82, 1 Er 3.46, 3 Tb 3.51-3.80, 3 Y 3.53-3.81
Pm 0.0168 0.0336 0.0188  2 Er 3.26, 3 Tb 3.46-3.58
Y 0.8002 0.6004 0.5104  2 Tb 3.43-3.68, 8 Pm 3.53-3.81, 2 Er 3.62
Y 0.1998 0.3996 0.0104  2 Tb 3.43-3.68, 8 Pm 3.53-3.81, 2 Er 3.62
Er 0.5909 0.1817 0.9616  5 Pm 3.07-3.35
Er 0.4091 0.8183 0.4616  5 Pm 3.07-3.35

Summary:
* total DFT energy (no corrections): -4.75 eV per atom
* space-group type: Cmc2_1, No. 36


[8]
Density functional theory data (PBE-GGA) for a relaxed Tb2Pm2Y7 crystal.

Cell lengths 6.0868, 8.6977, 8.7006 Å; angles 84.21, 63.55, 63.51 degrees
Closest atoms and distances in Å follow each position.
Fractional positions:
Tb 0.8793 0.7681 0.7683  8 Y 3.37-3.72, 2 Pm 3.48-3.49
Tb 0.1207 0.2319 0.2317  8 Y 3.37-3.72, 2 Pm 3.48-3.49
Pm 0.5004 0.7873 0.2130  4 Y 3.28-3.46, 2 Tb 3.48-3.49
Pm 0.4996 0.2127 0.7870  4 Y 3.28-3.46, 2 Tb 3.48-3.49
Y 0.1695 0.0656 0.5888  4 Y 3.26-3.64, 2 Pm 3.28-3.46, 2 Tb 3.37-3.61
Y 0.8297 0.4113 0.9352  4 Y 3.25-3.64, 2 Pm 3.28-3.46, 2 Tb 3.37-3.61
Y 0.8305 0.9344 0.4112  4 Y 3.26-3.64, 2 Pm 3.28-3.46, 2 Tb 3.37-3.61
Y 0.1703 0.5887 0.0648  4 Y 3.25-3.64, 2 Pm 3.28-3.46, 2 Tb 3.37-3.61
Y 0.0000 0.0000 0.0000  4 Y 3.32, 2 Tb 3.48
Y 0.6223 0.5915 0.5916  3 Tb 3.45-3.72, 6 Y 3.47-3.81, 2 Pm 3.77
Y 0.3777 0.4085 0.4084  3 Tb 3.45-3.72, 6 Y 3.47-3.81, 2 Pm 3.77

Summary:
* total DFT energy (no corrections): -5.66 eV per atom
* ΔE to the lowest computed polymorph: 0.051 eV/atom
* space-group type: C2/m, No. 12